[1]
## BeAgAs (PBE-GGA)

Data for a relaxed structure of BeAgAs.

a = 8.6565 Å, b = 3.9411 Å, c = 5.7040 Å
α = 90.00°, β = 90.00°, γ = 90.00°
With the nearest neighbours (Å) after each atom.
Fractional positions:
Be (0.1124, 0.2500, 0.1940)  3 As 2.33-2.50, 1 Ag 2.59
Be (0.3876, 0.7500, 0.6940)  3 As 2.33-2.50, 1 Ag 2.59
Be (0.6124, 0.2500, 0.3060)  3 As 2.33-2.50, 1 Ag 2.59
Be (0.8876, 0.7500, 0.8060)  3 As 2.33-2.50, 1 Ag 2.59
Ag (0.1168, 0.7500, 0.5014)  4 Be 2.59-2.64, 3 As 2.78-2.82, 2 Ag 2.82
Ag (0.3832, 0.2500, 0.0014)  4 Be 2.59-2.64, 3 As 2.78-2.82, 2 Ag 2.82
Ag (0.6168, 0.7500, 0.9986)  4 Be 2.59-2.64, 3 As 2.78-2.82, 2 Ag 2.82
Ag (0.8832, 0.2500, 0.4986)  4 Be 2.59-2.64, 3 As 2.78-2.82, 2 Ag 2.82
As (0.1511, 0.7500, 0.9856)  3 Be 2.33-2.50
As (0.3489, 0.2500, 0.4856)  3 Be 2.33-2.50
As (0.6511, 0.7500, 0.5144)  3 Be 2.33-2.50
As (0.8489, 0.2500, 0.0144)  3 Be 2.33-2.50

[2]
## BeAgAs (PBE-GGA)

Data for a relaxed structure of BeAgAs.

a = 4.1974 Å, b = 4.1974 Å, c = 8.0650 Å
α = 90.00°, β = 90.00°, γ = 120.00°
With the nearest neighbours (Å) after each atom.
Fractional positions:
Be (0.0000, 0.0000, 0.2500)  2 As 2.02
Be (0.0000, 0.0000, 0.7500)  2 As 2.02
Ag (0.3333, 0.6667, 0.2500)  3 Be 2.42
Ag (0.6667, 0.3333, 0.7500)  3 Be 2.42
As (0.0000, 0.0000, 0.0000)  2 Be 2.02
As (0.0000, 0.0000, 0.5000)  2 Be 2.02

[3]
## Be5AgAs4 (PBE-GGA)

Data for a relaxed structure of Be5AgAs4.

a = 7.3485 Å, b = 7.7191 Å, c = 5.5856 Å
α = 90.00°, β = 90.00°, γ = 90.00°
With the nearest neighbours (Å) after each atom.
Fractional positions:
Be (0.0105, 0.9996, 0.2406)  4 As 2.28-2.43
Be (0.0105, 0.5004, 0.2406)  4 As 2.28-2.43
Be (0.2500, 0.2500, 0.3347)  4 As 2.19-2.32
Be (0.4895, 0.9996, 0.2406)  4 As 2.28-2.43
Be (0.4895, 0.5004, 0.2406)  4 As 2.28-2.43
Be (0.5105, 0.0004, 0.7594)  4 As 2.28-2.43
Be (0.5105, 0.4996, 0.7594)  4 As 2.28-2.43
Be (0.7500, 0.7500, 0.6653)  4 As 2.19-2.32
Be (0.9895, 0.0004, 0.7594)  4 As 2.28-2.43
Be (0.9895, 0.4996, 0.7594)  4 As 2.28-2.43
Ag (0.2500, 0.7500, 0.2428)  4 As 2.58-2.64, 4 Be 2.61
Ag (0.7500, 0.2500, 0.7572)  4 As 2.58-2.64, 4 Be 2.61
As (0.0532, 0.2500, 0.0108)  5 Be 2.32-2.43
As (0.2500, 0.0075, 0.5383)  5 Be 2.19-2.42
As (0.2500, 0.4925, 0.5383)  5 Be 2.19-2.42
As (0.4468, 0.2500, 0.0108)  5 Be 2.32-2.43
As (0.5532, 0.7500, 0.9892)  5 Be 2.32-2.43
As (0.7500, 0.5075, 0.4617)  5 Be 2.19-2.42
As (0.7500, 0.9925, 0.4617)  5 Be 2.19-2.42
As (0.9468, 0.7500, 0.9892)  5 Be 2.32-2.43

Number 1: formation energy from the elements 0.11 eV per atom, size of the total moment 0.00 Bohr magnetons per cell. Number 2: formation energy from the elements 0.50 eV per atom, size of the total moment 0.00 Bohr magnetons per cell. Number 3: formation energy from the elements 0.08 eV per atom, size of the total moment 0.00 Bohr magnetons per cell.